Entry 1:
VASP calculation (PBE-GGA) on a relaxed Rb2ThAs2O8 crystal.

Lattice parameters (Å, degrees): 8.2001 11.6056 10.3244 90.00 116.93 90.00
Space group P2_1/c (No. 14)
Asymmetric unit:
Rb 0.1473 0.1272 0.0448 [4 per cell]
Rb 0.3351 0.1140 0.4598 [4 per cell]
Th 0.2552 0.6387 0.2777 [4 per cell]
As 0.0659 0.6401 0.8537 [4 per cell]
As 0.4607 0.6328 0.6300 [4 per cell]
O 0.0334 0.2379 0.2479 [4 per cell]
O 0.0369 0.0156 0.7358 [4 per cell]
O 0.0709 0.6458 0.0226 [4 per cell]
O 0.2365 0.6020 0.5098 [4 per cell]
O 0.2820 0.6526 0.8663 [4 per cell]
O 0.4280 0.0203 0.7530 [4 per cell]
O 0.4553 0.1503 0.9949 [4 per cell]
O 0.4811 0.7422 0.2262 [4 per cell]

Summary:
The formation energy (no corrections) is -2093 meV/atom.

=====

Entry 2:
VASP calculation (PBE-GGA) on a relaxed Rb2ThAs2O6 crystal.

Lattice parameters (Å, degrees): 10.6407 6.1433 7.4483 90.00 92.73 90.00
Space group C2/m (No. 12)
Asymmetric unit:
Rb 0.1734 0.0000 0.2069 [4 per cell]
Th 0.0000 0.5000 0.0000 [2 per cell]
As 0.1574 0.0000 0.7208 [4 per cell]
O 0.0861 0.2250 0.8329 [8 per cell]
O 0.1889 0.5000 0.1669 [4 per cell]

Summary:
The formation energy (no corrections) is -2146 meV/atom.

=====

Entry 3:
VASP calculation (PBE-GGA) on a relaxed RbThAs2O8 crystal.

Lattice parameters (Å, degrees): 5.8987 5.8987 8.1992 90.00 90.00 120.00
Space group P-3 (No. 147)
Asymmetric unit:
Rb 0.0000 0.0000 0.0000 [1 per cell]
Th 0.0000 0.0000 0.5000 [1 per cell]
As 0.3333 0.6667 0.7451 [2 per cell]
O 0.1665 0.3507 0.6736 [6 per cell]
O 0.3333 0.6667 0.9541 [2 per cell]

Summary:
The formation energy (no corrections) is -1881 meV/atom.

=====

Entry 4:
VASP calculation (PBE-GGA) on a relaxed RbTi2AsO6 crystal.

Lattice parameters (Å, degrees): 11.3494 10.5621 6.3082 90.00 109.23 90.00
Space group C2/c (No. 15)
Asymmetric unit:
Rb 0.0000 0.1095 0.2500 [4 per cell]
Ti 0.2397 0.4060 0.1949 [8 per cell]
As 0.0000 0.2924 0.7500 [4 per cell]
O 0.1051 0.1758 0.6986 [8 per cell]
O 0.1149 0.2992 0.0907 [8 per cell]
O 0.2380 0.4931 0.4544 [8 per cell]

Summary:
The formation energy (no corrections) is -2372 meV/atom.

=====

Entry 5:
VASP calculation (PBE-GGA) on a relaxed Rb2TiAsO crystal.

Lattice parameters (Å, degrees): 6.0835 6.0835 3.8536 90.00 90.00 90.00
Space group P4/mmm (No. 123)
Asymmetric unit:
Rb 0.0000 0.5000 0.0000 [2 per cell]
Ti 0.0000 0.0000 0.5000 [1 per cell]
As 0.5000 0.5000 0.5000 [1 per cell]
O 0.0000 0.0000 0.0000 [1 per cell]

Summary:
The formation energy (no corrections) is -618 meV/atom.

=====

Entry 6:
VASP calculation (PBE-GGA) on a relaxed Rb2TiAs2O6 crystal.

Lattice parameters (Å, degrees): 9.8694 5.6984 7.3632 90.00 98.99 90.00
Space group C2/m (No. 12)
Asymmetric unit:
Rb 0.1940 0.0000 0.2284 [4 per cell]
Ti 0.0000 0.5000 0.0000 [2 per cell]
As 0.1363 0.0000 0.7410 [4 per cell]
O 0.0653 0.2466 0.8460 [8 per cell]
O 0.1868 0.5000 0.1495 [4 per cell]

Summary:
The formation energy (no corrections) is -1838 meV/atom.

=====

Entry 7:
VASP calculation (PBE-GGA) on a relaxed RbTlAsO4 crystal.

Lattice parameters (Å, degrees): 6.1925 6.1822 7.6025 90.00 108.55 90.00
Space group P2_1/m (No. 11)
Asymmetric unit:
Rb 0.1965 0.2500 0.4421 [2 per cell]
Tl 0.2910 0.2500 0.9742 [2 per cell]
As 0.2436 0.7500 0.1653 [2 per cell]
O 0.0672 0.7500 0.9392 [2 per cell]
O 0.0716 0.7500 0.3056 [2 per cell]
O 0.4276 0.5281 0.2103 [4 per cell]

Summary:
The formation energy (no corrections) is -1238 meV/atom.

=====

Entry 8:
VASP calculation (PBE-GGA) on a relaxed Rb2TlAs2O6 crystal.

Lattice parameters (Å, degrees): 6.2457 6.2457 19.9811 90.00 90.00 120.00
Space group R-3m (No. 166, hexagonal axes)
Asymmetric unit:
Rb 0.0000 0.0000 0.2132 [6 per cell]
Tl 0.0000 0.0000 0.0000 [3 per cell]
As 0.0000 0.0000 0.4363 [6 per cell]
O 0.0228 0.5114 0.2485 [18 per cell]

Summary:
The formation energy (no corrections) is -1279 meV/atom.